Record 1
Below is a geometry-optimized CoRuC2Br structure, with properties calculated at the PBEsol level.

The structure in POSCAR format:
```
CoRuC2Br
1.0
-1.793 2.798 -2.053
-3.448 -1.696 0.700
-0.416 2.271 3.458
Co C Ru Br
1 2 1 1
Cartesian
-0.208 1.136 1.729
-1.724 -0.848 0.350
-0.897 1.399 -1.027
-2.829 1.686 1.052
0.000 0.000 0.000
```

Output
For the uncorrected formation energy, the calculation gives 3144 meV/atom. For the total energy, the calculation gives -4.670 eV per atom. The space-group type is P4/mmm.

***

Record 2
Below is a geometry-optimized La2ReSi structure, with properties calculated at the PBEsol level.

The structure in POSCAR format:
```
La2ReSi
1.0
3.487 0.000 0.000
1.743 3.020 0.000
1.743 1.007 9.117
Si La Re
1 2 1
Cartesian
0.000 0.000 0.000
1.743 1.007 2.369
5.230 3.020 6.747
3.487 2.013 4.558
```

Output
For the uncorrected formation energy, the calculation gives 429 meV/atom. For the total energy, the calculation gives -7.014 eV per atom. The space-group type is R-3m.

***

Record 3
Below is a geometry-optimized Sr4Cu structure, with properties calculated at the PBEsol level.

The structure in POSCAR format:
```
Sr4Cu
1.0
-3.522 -4.998 2.063
4.036 -1.978 -4.629
3.396 2.417 4.925
Sr Cu
4 1
Cartesian
-1.761 -2.499 1.031
1.698 1.209 2.463
1.955 -2.279 1.179
2.018 -0.989 -2.315
0.000 0.000 0.000
```

Output
The value obtained for the formation energy is 1.08 eV per formula unit. For the total energy, the calculation gives -2.123 eV per atom. The space-group type is Im-3m. For the energy above the most stable polymorph in this dataset, the calculation gives 0.148 eV per atom.

***

Record 4
Below is a geometry-optimized Tl2SiRu structure, with properties calculated at the PBEsol level.

The structure in POSCAR format:
```
Tl2SiRu
1.0
4.766 0.000 0.000
2.383 4.128 0.000
2.383 1.376 3.892
Ru Tl Si
1 2 1
Cartesian
4.766 2.752 1.946
2.383 1.376 0.973
0.000 0.000 0.000
7.150 4.128 2.919
```

Output
For the uncorrected formation energy, the calculation gives 768 meV/atom. For the total energy, the calculation gives -4.527 eV per atom. The space-group type is F-43m. For the energy above the most stable polymorph in this dataset, the calculation gives 0.064 eV per atom.

***

Record 5
Below is a geometry-optimized HfGeSbCl2 structure, with properties calculated at the PBEsol level.

The structure in POSCAR format:
```
HfGeSbCl2
1.0
4.736 0.000 0.000
0.000 4.736 0.000
0.000 0.000 5.632
Hf Cl Sb Ge
1 2 1 1
Cartesian
0.000 0.000 0.000
2.368 0.000 0.000
0.000 2.368 0.000
2.368 2.368 2.816
0.000 0.000 2.816
```

Output
For the uncorrected formation energy, the calculation gives -339 meV/atom. For the total energy, the calculation gives -5.142 eV per atom. The space-group type is P4/mmm.

***

Record 6
Below is a geometry-optimized MgGa2O4 structure, with properties calculated at the PBEsol level.

The structure in POSCAR format:
```
MgGa2O4
1.0
5.917 0.000 0.000
2.959 5.125 0.000
2.959 1.708 4.832
Ga Mg O
4 2 8
Cartesian
5.917 3.416 0.604
5.917 1.708 3.020
4.438 4.271 3.020
7.397 4.271 3.020
2.959 1.708 1.208
0.000 0.000 0.000
5.917 4.971 1.866
7.264 2.639 1.866
4.571 2.639 1.866
5.917 3.416 4.065
8.876 3.570 4.173
7.530 5.902 4.173
8.876 5.125 1.975
10.223 5.902 4.173
```

Output
For the uncorrected formation energy, the calculation gives -2181 meV/atom. For the total energy, the calculation gives -6.380 eV per atom. The space-group type is Fd-3m.

***

Record 7
Below is a geometry-optimized ScIr2Os structure, with properties calculated at the PBEsol level.

The structure in POSCAR format:
```
ScIr2Os
1.0
-1.819 -1.982 -3.518
0.721 -4.308 -0.733
-3.283 -2.920 0.555
Ir Sc Os
2 1 1
Cartesian
-1.095 -2.303 -0.924
-3.286 -6.908 -2.772
-2.191 -4.605 -1.848
0.000 0.000 0.000
```

Output
The value obtained for the formation energy is 0.29 eV per formula unit. For the total energy, the calculation gives -9.544 eV per atom. The space-group type is Fm-3m. For the energy above the most stable polymorph in this dataset, the calculation gives 0.167 eV per atom.

***

Record 8
Below is a geometry-optimized SrZrAs2 structure, with properties calculated at the PBEsol level.

The structure in POSCAR format:
```
SrZrAs2
1.0
3.421 0.000 0.000
0.000 3.421 0.000
0.000 0.000 7.460
As Zr Sr
2 1 1
Cartesian
0.000 0.000 2.153
0.000 0.000 5.307
1.711 1.711 3.730
1.711 1.711 0.000
```

Output
The value obtained for the formation energy is -3.57 eV per formula unit. For the total energy, the calculation gives -6.179 eV per atom. The space-group type is P4/mmm. For the energy above the most stable polymorph in this dataset, the calculation gives 0.277 eV per atom.

***

Record 9
Below is a geometry-optimized SrAgPb2 structure, with properties calculated at the PBEsol level.

The structure in POSCAR format:
```
SrAgPb2
1.0
-4.100 1.497 -1.949
-2.287 -3.787 1.899
2.260 3.660 3.919
Ag Pb Sr
1 2 1
Cartesian
-2.510 1.990 0.946
-1.611 -0.632 2.902
-0.008 0.022 0.033
-0.929 2.507 3.880
```

Output
The value obtained for the formation energy is -0.90 eV per formula unit. For the total energy, the calculation gives -3.513 eV per atom. The space-group type is Imm2.

***

Record 10
Below is a geometry-optimized CaZr2Be structure, with properties calculated at the PBEsol level.

The structure in POSCAR format:
```
CaZr2Be
1.0
3.255 0.000 0.000
0.000 3.255 0.000
0.000 0.000 8.198
Zr Be Ca
2 1 1
Cartesian
1.627 1.627 2.402
0.000 0.000 0.363
0.000 0.000 3.793
1.627 1.627 5.737
```

Output
The value obtained for the formation energy is 0.69 eV per formula unit. For the total energy, the calculation gives -5.905 eV per atom. The space-group type is P4mm.

***

Record 11
Below is a geometry-optimized In2Co structure, with properties calculated at the PBEsol level.

The structure in POSCAR format:
```
In2Co
1.0
-1.417 0.698 -2.472
-5.571 -0.810 2.964
0.731 5.685 2.928
Co In
2 4
Cartesian
-3.293 4.178 3.067
-1.228 1.648 -0.572
-5.429 5.624 2.959
-1.956 -0.215 1.061
-4.932 2.273 3.469
-2.854 3.077 0.764
```

Output
The value obtained for the formation energy is 0.13 eV per formula unit. For the total energy, the calculation gives -4.524 eV per atom. The space-group type is Cmc2_1.

***

Record 12
Below is a geometry-optimized TaSiIr structure, with properties calculated at the PBEsol level.

The structure in POSCAR format:
```
TaSiIr
1.0
-3.114 -2.135 0.117
0.926 -1.009 6.217
-3.970 5.875 1.544
Si Ta Ir
4 4 4
Cartesian
-1.057 -0.038 1.669
-1.591 0.934 5.165
-4.567 1.798 2.713
-5.101 2.769 6.209
-3.624 3.849 4.264
-2.534 -1.118 3.615
-2.545 2.432 7.133
-3.613 0.299 0.746
-2.179 1.667 2.908
-0.243 -1.017 5.443
-5.915 3.749 2.435
-3.979 1.064 4.971
```

Output
For the uncorrected formation energy, the calculation gives -860 meV/atom. For the total energy, the calculation gives -10.234 eV per atom. The space-group type is Pnma.

***

Record 13
Below is a geometry-optimized ReOs2Pt structure, with properties calculated at the PBEsol level.

The structure in POSCAR format:
```
ReOs2Pt
1.0
3.878 0.000 0.000
0.000 3.878 0.000
-1.939 -1.939 3.793
Re Os Pt
1 2 1
Cartesian
0.000 0.000 0.000
0.000 1.939 1.896
1.939 0.000 1.896
1.939 1.939 0.000
```

Output
The value obtained for the formation energy is 0.27 eV per formula unit. For the total energy, the calculation gives -11.114 eV per atom. The space-group type is I4/mmm. For the energy above the most stable polymorph in this dataset, the calculation gives 0.009 eV per atom.

***

Record 14
Below is a geometry-optimized Sc3ZnAs structure, with properties calculated at the PBEsol level.

The structure in POSCAR format:
```
Sc3ZnAs
1.0
4.875 0.000 0.000
0.000 4.875 0.000
0.000 0.000 4.875
Sc Zn As
3 1 1
Cartesian
0.000 2.437 0.000
2.437 0.000 0.000
0.000 0.000 2.437
0.000 0.000 0.000
2.437 2.437 2.437
```

Output
The value obtained for the formation energy is -0.03 eV per formula unit. For the total energy, the calculation gives -5.307 eV per atom. The space-group type is Pm-3m.

***

Record 15
Below is a geometry-optimized BaBeIn2Re structure, with properties calculated at the PBEsol level.

The structure in POSCAR format:
```
BaBeIn2Re
1.0
4.913 0.000 0.000
0.000 5.928 0.000
0.000 0.000 5.928
Be Ba Re In
1 1 1 2
Cartesian
2.456 0.000 0.000
0.000 0.000 0.000
2.456 2.964 2.964
0.000 0.000 2.964
0.000 2.964 0.000
```

Output
The value obtained for the formation energy is 13.03 eV per formula unit. For the total energy, the calculation gives -2.483 eV per atom. The space-group type is P4/mmm.

***

Record 16
Below is a geometry-optimized TlPd2PtF structure, with properties calculated at the PBEsol level.

The structure in POSCAR format:
```
TlPd2PtF
1.0
-2.258 2.218 -2.728
0.606 -2.948 -2.899
-3.913 -2.217 1.436
Tl F Pt Pd
1 1 1 2
Cartesian
-1.957 -1.108 0.718
0.000 0.000 0.000
-2.782 -1.474 -2.095
0.303 -1.474 -1.449
-1.129 1.109 -1.364
```

Output
For the uncorrected formation energy, the calculation gives 139 meV/atom. For the total energy, the calculation gives -4.549 eV per atom. The space-group type is P4/mmm.

***

Record 17
Below is a geometry-optimized Nb3SnOs structure, with properties calculated at the PBEsol level.

The structure in POSCAR format:
```
Nb3SnOs
1.0
-1.453 -2.536 -3.878
4.046 1.286 -2.357
2.258 -3.937 1.728
Nb Os Sn
3 1 1
Cartesian
-0.726 -1.268 -1.939
1.129 -1.968 0.864
2.023 0.643 -1.178
2.426 -2.593 -2.253
0.000 0.000 0.000
```

Output
The value obtained for the formation energy is 11.55 eV per formula unit. For the total energy, the calculation gives -7.479 eV per atom. The space-group type is Pm-3m.

***

Record 18
Below is a geometry-optimized PtRh2 structure, with properties calculated at the PBEsol level.

The structure in POSCAR format:
```
PtRh2
1.0
-1.199 -1.824 1.585
2.371 -1.231 0.377
0.412 4.848 3.595
Pt Rh
1 2
Cartesian
0.586 -1.528 0.981
0.341 1.134 1.563
1.242 0.658 3.993
```

Output
The value obtained for the formation energy is -0.05 eV per formula unit. For the total energy, the calculation gives -7.765 eV per atom. The space-group type is I4/mmm. For the energy above the most stable polymorph in this dataset, the calculation gives 0.000 eV per atom.

***

Record 19
Below is a geometry-optimized CuReO4 structure, with properties calculated at the PBEsol level.

The structure in POSCAR format:
```
CuReO4
1.0
-0.811 4.392 -1.183
-3.285 -1.615 -3.202
-4.060 0.321 3.998
Re O Cu
2 8 2
Cartesian
-4.973 4.251 1.306
-3.183 -1.153 -1.694
-6.888 -0.262 0.309
-6.105 2.805 0.850
-1.268 3.361 -0.696
-4.694 -0.203 -1.709
-4.072 2.413 -1.297
-3.463 3.301 1.322
-4.085 0.686 0.910
-2.051 0.293 -1.237
-2.559 1.899 -0.081
-5.597 1.199 -0.306
```

Output
For the uncorrected formation energy, the calculation gives -1251 meV/atom. For the total energy, the calculation gives -7.695 eV per atom. The space-group type is P-1.

***

Record 20
Below is a geometry-optimized KBaMo2 structure, with properties calculated at the PBEsol level.

The structure in POSCAR format:
```
KBaMo2
1.0
-0.644 -1.127 3.714
3.652 -1.452 0.193
1.932 5.108 1.885
Mo Ba K
2 1 1
Cartesian
-0.322 -0.564 1.857
1.826 -0.726 0.096
2.470 1.264 2.896
0.966 2.554 0.943
```

Output
The value obtained for the formation energy is 6.14 eV per formula unit. For the total energy, the calculation gives -5.169 eV per atom. The space-group type is P4/mmm. For the energy above the most stable polymorph in this dataset, the calculation gives 0.000 eV per atom.

***

Record 21
Below is a geometry-optimized Rb3EuCl6 structure, with properties calculated at the PBEsol level.

The structure in POSCAR format:
```
Rb3EuCl6
1.0
-0.363 7.952 1.226
-7.124 3.756 -0.017
-3.050 2.880 6.875
Cl Rb Eu
6 3 1
Cartesian
-7.885 6.943 5.544
-6.258 5.407 1.878
-6.452 9.648 2.531
-2.652 7.645 2.540
-4.279 9.180 6.206
-4.085 4.940 5.553
-7.903 10.941 6.063
-2.634 3.647 2.021
-5.269 7.294 4.042
0.000 0.000 0.000
```

Output
For the uncorrected formation energy, the calculation gives -1884 meV/atom. For the total energy, the calculation gives -4.452 eV per atom. The space-group type is Fm-3m.

***

Record 22
Below is a geometry-optimized Rb2LiAlF6 structure, with properties calculated at the PBEsol level.

The structure in POSCAR format:
```
Rb2LiAlF6
1.0
5.693 0.000 0.000
2.846 4.930 0.000
2.846 1.643 4.648
F Rb Al Li
6 2 1 1
Cartesian
4.148 2.395 3.586
4.148 4.179 1.062
7.238 4.179 1.062
5.693 1.502 1.062
7.238 2.395 3.586
5.693 5.071 3.586
2.846 1.643 1.162
8.539 4.930 3.486
0.000 0.000 0.000
5.693 3.287 2.324
```

Output
For the uncorrected formation energy, the calculation gives -3212 meV/atom. For the total energy, the calculation gives -5.179 eV per atom. The space-group type is Fm-3m.

***

Record 23
Below is a geometry-optimized BaIn2P structure, with properties calculated at the PBEsol level.

The structure in POSCAR format:
```
BaIn2P
1.0
3.693 0.000 0.000
0.000 5.458 0.000
-1.847 -2.729 5.318
In Ba P
2 1 1
Cartesian
1.847 2.729 3.189
0.000 0.000 2.129
0.000 2.729 0.000
1.847 0.000 0.000
```

Output
The value obtained for the formation energy is -1.54 eV per formula unit. For the total energy, the calculation gives -3.861 eV per atom. The space-group type is Immm.

***

Record 24
Below is a geometry-optimized Cr3As structure, with properties calculated at the PBEsol level.

The structure in POSCAR format:
```
Cr3As
1.0
-0.982 2.429 -0.317
-0.044 -1.314 -2.288
-6.853 -2.563 1.604
Cr As
3 1
Cartesian
-2.273 -0.101 -0.891
-5.606 -1.347 -0.111
-3.427 -1.281 0.802
0.000 0.000 0.000
```

Output
The value obtained for the formation energy is 1.16 eV per formula unit. For the total energy, the calculation gives -8.669 eV per atom. The space-group type is Cmmm.

***

Record 25
Below is a geometry-optimized Ba2SrBr structure, with properties calculated at the PBEsol level.

The structure in POSCAR format:
```
Ba2SrBr
1.0
-3.134 -2.634 0.898
3.647 -2.670 4.893
-3.194 4.891 3.201
Ba Sr Br
2 1 1
Cartesian
1.823 -1.335 2.447
-1.597 2.446 1.600
-1.567 -1.317 0.449
-1.341 -0.206 4.496
```

Output
For the uncorrected formation energy, the calculation gives -472 meV/atom. For the total energy, the calculation gives -2.474 eV per atom. The space-group type is Cmmm. For the energy above the most stable polymorph in this dataset, the calculation gives 0.286 eV per atom.

***

Record 26
Below is a geometry-optimized GeHS2 structure, with properties calculated at the PBEsol level.

The structure in POSCAR format:
```
GeHS2
1.0
-1.517 3.141 -1.104
-1.780 0.149 -3.193
-6.188 -0.388 1.336
S Ge H
2 1 1
Cartesian
-4.808 0.014 0.586
-4.677 2.888 -3.546
-4.743 1.451 -1.480
0.000 0.000 0.000
```

Output
For the total energy, the calculation gives -4.333 eV per atom. The space-group type is R-3m. For the energy above the most stable polymorph in this dataset, the calculation gives 0.000 eV per atom.